Record 1
# Nd2YMg4

Crystalline Nd2YMg4 at its relaxed geometry (PBE, Alexandria via LeMat-Bulk).

a = 5.3997 Å, b = 5.3997 Å, c = 23.6712 Å
α = 90.00°, β = 90.00°, γ = 120.00°
Space group R-3m (No. 166, hexagonal axes)
Unique sites:
Nd  0.0000  0.0000  0.2149 (multiplicity 6)
Y  0.0000  0.0000  0.5000 (multiplicity 3)
Mg  0.0000  0.0000  0.0695 (multiplicity 6)
Mg  0.0000  0.0000  0.3623 (multiplicity 6)

Computed properties:
* excess energy over the best structure of this formula in the dataset: 0.000 eV per atom
* N(E_F): 21.19 states/eV per cell
* total moment: 0.0 Bohr magnetons per cell


Record 2
# TlCo2P

Crystalline TlCo2P at its relaxed geometry (PBE, Alexandria via LeMat-Bulk).

a = 3.5082 Å, b = 3.5082 Å, c = 17.0798 Å
α = 90.00°, β = 90.00°, γ = 120.00°
Space group R3m (No. 160, hexagonal axes)
Unique sites:
Tl  0.0000  0.0000  0.0000 (multiplicity 3)
Co  0.0000  0.0000  0.2132 (multiplicity 3)
Co  0.0000  0.0000  0.4477 (multiplicity 3)
P  0.0000  0.0000  0.8288 (multiplicity 3)

Computed properties:
* electronic total energy: -5.588 eV per atom
* N(E_F): 4.47 states/eV per cell
* total moment: 0.0 Bohr magnetons per cell


Record 3
# La2ScSiSe

Crystalline La2ScSiSe at its relaxed geometry (PBE, Alexandria via LeMat-Bulk).

a = 5.735 Å, b = 5.735 Å, c = 4.808 Å
α = 90.00°, β = 90.00°, γ = 90.00°
Space group P4/mmm (No. 123)
Unique sites:
La  0.000  0.500  0.000 (multiplicity 2)
Sc  0.000  0.000  0.000 (multiplicity 1)
Si  0.500  0.500  0.500 (multiplicity 1)
Se  0.000  0.000  0.500 (multiplicity 1)

Computed properties:
* raw formation energy: 181.6 meV per atom
* N(E_F): 7.00 states/eV per cell
* total moment: 0.0 Bohr magnetons per cell


Record 4
# Li7CaMg5

Crystalline Li7CaMg5 at its relaxed geometry (PBE, Alexandria via LeMat-Bulk).

a = 5.965 Å, b = 10.202 Å, c = 9.978 Å
α = 90.00°, β = 90.00°, γ = 90.00°
Space group Imm2 (No. 44)
Unique sites:
Li  0.000  0.000  0.000 (multiplicity 2)
Li  0.000  0.000  0.293 (multiplicity 2)
Li  0.000  0.281  0.143 (multiplicity 4)
Li  0.000  0.357  0.645 (multiplicity 4)
Li  0.000  0.500  0.350 (multiplicity 2)
Ca  0.000  0.000  0.645 (multiplicity 2)
Mg  0.000  0.500  0.937 (multiplicity 2)
Mg  0.250  0.245  0.893 (multiplicity 8)

Computed properties:
* electronic total energy: -1.814 eV per atom
* N(E_F): 12.78 states/eV per cell
* total moment: 0.0 Bohr magnetons per cell


Record 5
# Ti4Rh3W

Crystalline Ti4Rh3W at its relaxed geometry (PBE, Alexandria via LeMat-Bulk).

a = 3.149 Å, b = 3.149 Å, c = 12.307 Å
α = 90.00°, β = 90.00°, γ = 90.00°
Space group P4/mmm (No. 123)
Unique sites:
Ti  0.000  0.000  0.124 (multiplicity 2)
Ti  0.000  0.000  0.376 (multiplicity 2)
Rh  0.500  0.500  0.000 (multiplicity 1)
Rh  0.500  0.500  0.242 (multiplicity 2)
W  0.500  0.500  0.500 (multiplicity 1)

Computed properties:
* electronic total energy: -8.934 eV per atom
* N(E_F): 6.44 states/eV per cell
* total moment: 0.0 Bohr magnetons per cell


Record 6
# BaSc2Br

Crystalline BaSc2Br at its relaxed geometry (PBE, Alexandria via LeMat-Bulk).

a = 13.323 Å, b = 3.481 Å, c = 5.675 Å
α = 90.00°, β = 115.10°, γ = 90.00°
Space group C2/m (No. 12)
Unique sites:
Ba  0.000  0.000  0.000 (multiplicity 2)
Sc  0.216  0.000  0.716 (multiplicity 4)
Br  0.000  0.500  0.500 (multiplicity 2)

Computed properties:
* raw formation energy: -269.7 meV per atom
* excess energy over the best structure of this formula in the dataset: 0.121 eV per atom
* N(E_F): 10.63 states/eV per cell
* total moment: 0.0 Bohr magnetons per cell


Record 7
# ZnSbW2

Crystalline ZnSbW2 at its relaxed geometry (PBE, Alexandria via LeMat-Bulk).

a = 9.389 Å, b = 3.307 Å, c = 4.770 Å
α = 90.00°, β = 108.72°, γ = 90.00°
Space group Cm (No. 8)
Unique sites:
Zn  0.000  0.000  0.000 (multiplicity 2)
Sb  0.233  0.000  0.698 (multiplicity 2)
W  0.251  0.500  0.203 (multiplicity 2)
W  0.470  0.000  0.453 (multiplicity 2)

Computed properties:
* raw formation energy: 540.1 meV per atom
* excess energy over the best structure of this formula in the dataset: 0.223 eV per atom
* N(E_F): 7.92 states/eV per cell
* total moment: 0.0 Bohr magnetons per cell


Record 8
# KBeFeRe2

Crystalline KBeFeRe2 at its relaxed geometry (PBE, Alexandria via LeMat-Bulk).

a = 4.573 Å, b = 4.573 Å, c = 4.266 Å
α = 90.00°, β = 90.00°, γ = 90.00°
Space group P4/mmm (No. 123)
Unique sites:
K  0.000  0.000  0.000 (multiplicity 1)
Be  0.500  0.500  0.500 (multiplicity 1)
Fe  0.000  0.000  0.500 (multiplicity 1)
Re  0.000  0.500  0.000 (multiplicity 2)

Computed properties:
* electronic total energy: -4.005 eV per atom
* N(E_F): 5.45 states/eV per cell
* total moment: 4.1 Bohr magnetons per cell


Record 9
# CuAg3Sb3S8

Crystalline CuAg3Sb3S8 at its relaxed geometry (PBE, Alexandria via LeMat-Bulk).

a = 13.128 Å, b = 7.621 Å, c = 7.732 Å
α = 90.00°, β = 124.76°, γ = 90.00°
Space group C2/m (No. 12)
Unique sites:
Cu  0.000  0.000  0.000 (multiplicity 2)
Ag  0.000  0.000  0.500 (multiplicity 2)
Ag  0.250  0.250  0.500 (multiplicity 4)
Sb  0.000  0.500  0.000 (multiplicity 2)
Sb  0.250  0.250  0.000 (multiplicity 4)
S  0.000  0.238  0.236 (multiplicity 8)
S  0.224  0.000  0.224 (multiplicity 4)
S  0.249  0.000  0.749 (multiplicity 4)

Computed properties:
* raw formation energy: -79.9 meV per atom
* N(E_F): 17.07 states/eV per cell
* total moment: 1.8 Bohr magnetons per cell


Record 10
# YPu2AgO8

Crystalline YPu2AgO8 at its relaxed geometry (PBE, Alexandria via LeMat-Bulk).

a = 7.342 Å, b = 7.342 Å, c = 7.306 Å
α = 90.00°, β = 90.00°, γ = 90.00°
Space group I-4m2 (No. 119)
Unique sites:
Y  0.000  0.000  0.000 (multiplicity 2)
Pu  0.000  0.000  0.500 (multiplicity 2)
Pu  0.000  0.500  0.750 (multiplicity 2)
Ag  0.000  0.500  0.250 (multiplicity 2)
O  0.000  0.180  0.300 (multiplicity 8)
O  0.000  0.300  0.929 (multiplicity 8)

Computed properties:
* raw formation energy: -1980.1 meV per atom
* N(E_F): 32.67 states/eV per cell
* total moment: 8.7 Bohr magnetons per cell